VASP calculation (PBE-GGA) on an optimized crystal structure of Sc2TaNiSe.

a b c (Å): 4.8858 4.2825 4.8858
angles (deg): 90.00 90.00 90.00
Last column: nearest neighbours and their distance in Å.
Positions (direct):
Sc: 0.0000 0.0000 0.5000  2 Ni 2.44
Sc: 0.5000 0.0000 0.0000  2 Ni 2.44
Ni: 0.0000 0.0000 0.0000  2 Se 2.14
Se: 0.0000 0.5000 0.0000  2 Ni 2.14
Ta: 0.5000 0.5000 0.5000  8 Sc 3.25, 4 Se 3.45

**M_tot**: 0.84 μB/f.u.
**Final energy**: -6.35 eV per atom
**Volume**: 20.45 Å³ per atom
**Formation energy (no corrections)**: 0.410 eV per atom

VASP calculation (PBE-GGA) on an optimized crystal structure of Ca2Si3GePt4.

a b c (Å): 4.2348 4.2348 10.0945
angles (deg): 90.00 90.00 90.00
Last column: nearest neighbours and their distance in Å.
Positions (direct):
Ca: 0.5000 0.0000 0.2523  8 Pt 3.21-3.31, 6 Si 3.25-3.28, 2 Ge 3.28
Ca: 0.0000 0.5000 0.7477  8 Pt 3.21-3.31, 6 Si 3.25-3.28, 2 Ge 3.28
Si: 0.0000 0.0000 0.5000  4 Pt 2.51
Si: 0.5000 0.0000 0.8716  5 Pt 2.40-2.48
Si: 0.0000 0.5000 0.1284  5 Pt 2.40-2.48
Ge: 0.5000 0.5000 0.5000  4 Pt 2.51
Pt: 0.5000 0.5000 0.0000  4 Si 2.48
Pt: 0.0000 0.0000 0.0000  4 Si 2.48
Pt: 0.5000 0.0000 0.6336  3 Si 2.40-2.51, 2 Ge 2.51
Pt: 0.0000 0.5000 0.3664  3 Si 2.40-2.51, 2 Ge 2.51

**M_tot**: 0.00 μB/f.u.
**Final energy**: -5.82 eV per atom
**Volume**: 18.10 Å³ per atom
**Formation energy (no corrections)**: -0.912 eV per atom

Number 2 is which compound? Ca2Si3GePt4

Among the records above, which one has the lowest volume? Ca2Si3GePt4

Among the records above, which one has the lowest final energy? Sc2TaNiSe

Repeat the second record exactly.
VASP calculation (PBE-GGA) on an optimized crystal structure of Ca2Si3GePt4.

a b c (Å): 4.2348 4.2348 10.0945
angles (deg): 90.00 90.00 90.00
Last column: nearest neighbours and their distance in Å.
Positions (direct):
Ca: 0.5000 0.0000 0.2523  8 Pt 3.21-3.31, 6 Si 3.25-3.28, 2 Ge 3.28
Ca: 0.0000 0.5000 0.7477  8 Pt 3.21-3.31, 6 Si 3.25-3.28, 2 Ge 3.28
Si: 0.0000 0.0000 0.5000  4 Pt 2.51
Si: 0.5000 0.0000 0.8716  5 Pt 2.40-2.48
Si: 0.0000 0.5000 0.1284  5 Pt 2.40-2.48
Ge: 0.5000 0.5000 0.5000  4 Pt 2.51
Pt: 0.5000 0.5000 0.0000  4 Si 2.48
Pt: 0.0000 0.0000 0.0000  4 Si 2.48
Pt: 0.5000 0.0000 0.6336  3 Si 2.40-2.51, 2 Ge 2.51
Pt: 0.0000 0.5000 0.3664  3 Si 2.40-2.51, 2 Ge 2.51

**M_tot**: 0.00 μB/f.u.
**Final energy**: -5.82 eV per atom
**Volume**: 18.10 Å³ per atom
**Formation energy (no corrections)**: -0.912 eV per atom